1.
Here is a relaxed structure of TbSnPb from Alexandria. Energies are from PBE-GGA.

a = 3.5395 Å, b = 6.0017 Å, c = 8.2131 Å
α = 90.00°, β = 90.00°, γ = 90.00°
With the nearest neighbours (Å) after each atom.
Sites, in units of the cell vectors:
Pb (0.5000, 0.7500, 0.6860)  6 Tb 3.38-3.49, 4 Sn 3.47, 2 Pb 3.54
Pb (0.5000, 0.2500, 0.3140)  6 Tb 3.38-3.49, 4 Sn 3.47, 2 Pb 3.54
Tb (0.0000, 0.2500, 0.6645)  2 Sn 3.14, 6 Pb 3.38-3.49
Tb (0.0000, 0.7500, 0.3355)  2 Sn 3.14, 6 Pb 3.38-3.49
Sn (0.0000, 0.0000, 0.0000)  2 Sn 3.00, 2 Tb 3.14
Sn (0.0000, 0.5000, 0.0000)  2 Sn 3.00, 2 Tb 3.14

Output
Polymorph energy (0 for the lowest one): 0.283 eV per atom

---

2.
Here is a relaxed structure of Tb4SnTe2Pb from Alexandria. Energies are from PBE-GGA.

a = 4.4200 Å, b = 7.6759 Å, c = 7.6488 Å
α = 70.61°, β = 90.00°, γ = 90.00°
With the nearest neighbours (Å) after each atom.
Sites, in units of the cell vectors:
Tb (0.0000, 0.7400, 0.7515)  1 Sn 3.07, 2 Pb 3.09, 3 Te 3.17-3.18
Tb (0.0000, 0.2600, 0.2485)  1 Sn 3.07, 2 Pb 3.09, 3 Te 3.17-3.18
Tb (0.5000, 0.7385, 0.2561)  2 Sn 3.07, 1 Pb 3.09, 3 Te 3.16-3.18
Tb (0.5000, 0.2615, 0.7439)  2 Sn 3.07, 1 Pb 3.09, 3 Te 3.16-3.18
Sn (0.0000, 0.5000, 0.5000)  6 Tb 3.07
Te (0.0000, 0.0000, 0.0000)  6 Tb 3.18
Te (0.5000, 0.0000, 0.5000)  6 Tb 3.16-3.17
Pb (0.5000, 0.5000, 0.0000)  6 Tb 3.09

Output
ΔE_f (raw): -1.005 eV/atom

---

3.
Here is a relaxed structure of Tb6Sn2Te3Pb from Alexandria. Energies are from PBE-GGA.

a = 4.4199 Å, b = 8.8421 Å, c = 9.8913 Å
α = 103.34°, β = 102.91°, γ = 90.00°
With the nearest neighbours (Å) after each atom.
Sites, in units of the cell vectors:
Tb (0.3346, 0.9085, 0.6691)  2 Sn 3.07, 1 Pb 3.10, 3 Te 3.15-3.18
Tb (0.6696, 0.5760, 0.3392)  3 Sn 3.07, 3 Te 3.18
Tb (0.6654, 0.0915, 0.3309)  2 Sn 3.07, 1 Pb 3.10, 3 Te 3.15-3.18
Tb (0.0030, 0.2464, 0.0059)  1 Sn 3.07, 2 Pb 3.09, 3 Te 3.16-3.17
Tb (0.9970, 0.7536, 0.9941)  1 Sn 3.07, 2 Pb 3.09, 3 Te 3.16-3.17
Tb (0.3304, 0.4240, 0.6608)  3 Sn 3.07, 3 Te 3.18
Sn (0.8333, 0.6667, 0.6666)  6 Tb 3.07
Sn (0.1667, 0.3333, 0.3334)  6 Tb 3.07
Te (0.5000, 0.5000, 0.0000)  6 Tb 3.16-3.18
Te (0.8337, 0.1670, 0.6674)  6 Tb 3.15-3.18
Te (0.1663, 0.8330, 0.3326)  6 Tb 3.15-3.18
Pb (0.5000, 0.0000, 0.0000)  6 Tb 3.09-3.10

Output
ΔE_f (raw): -1.025 eV/atom

---

4.
Here is a relaxed structure of TbSnTe4Pb2 from Alexandria. Energies are from PBE-GGA.

a = 4.3479 Å, b = 8.1900 Å, c = 7.8999 Å
α = 74.32°, β = 90.00°, γ = 90.00°
With the nearest neighbours (Å) after each atom.
Sites, in units of the cell vectors:
Tb (0.0000, 0.5000, 0.5000)  6 Te 3.13
Sn (0.5000, 0.5000, 0.0000)  6 Te 3.15-3.21
Te (0.0000, 0.7380, 0.7508)  1 Tb 3.13, 2 Sn 3.21, 3 Pb 3.28-3.31
Te (0.0000, 0.2620, 0.2492)  1 Tb 3.13, 2 Sn 3.21, 3 Pb 3.28-3.31
Te (0.5000, 0.7274, 0.2645)  2 Tb 3.13, 1 Sn 3.15, 3 Pb 3.27-3.40
Te (0.5000, 0.2726, 0.7355)  2 Tb 3.13, 1 Sn 3.15, 3 Pb 3.27-3.40
Pb (0.0000, 0.0000, 0.0000)  6 Te 3.28-3.40
Pb (0.5000, 0.0000, 0.5000)  6 Te 3.27-3.31

Output
ΔE_f (raw): -0.566 eV/atom

---

5.
Here is a relaxed structure of Tb6SnTe3Pb2 from Alexandria. Energies are from PBE-GGA.

a = 4.4301 Å, b = 8.8515 Å, c = 9.9042 Å
α = 103.23°, β = 102.92°, γ = 90.00°
With the nearest neighbours (Å) after each atom.
Sites, in units of the cell vectors:
Tb (0.3366, 0.9131, 0.6732)  1 Sn 3.07, 2 Pb 3.10, 3 Te 3.17-3.18
Tb (0.6682, 0.5782, 0.3365)  3 Pb 3.10, 3 Te 3.16-3.17
Tb (0.6634, 0.0869, 0.3268)  1 Sn 3.07, 2 Pb 3.10, 3 Te 3.17-3.18
Tb (0.0015, 0.2415, 0.0031)  2 Sn 3.07, 1 Pb 3.10, 3 Te 3.17-3.19
Tb (0.9985, 0.7585, 0.9969)  2 Sn 3.07, 1 Pb 3.10, 3 Te 3.17-3.19
Tb (0.3318, 0.4218, 0.6635)  3 Pb 3.10, 3 Te 3.16-3.17
Sn (0.5000, 0.0000, 0.0000)  6 Tb 3.07
Te (0.5000, 0.5000, 0.0000)  6 Tb 3.16-3.19
Te (0.8330, 0.1667, 0.6659)  6 Tb 3.17-3.18
Te (0.1670, 0.8333, 0.3341)  6 Tb 3.17-3.18
Pb (0.8334, 0.6670, 0.6667)  6 Tb 3.10
Pb (0.1666, 0.3330, 0.3333)  6 Tb 3.10

Output
ΔE_f (raw): -0.989 eV/atom

---

6.
Here is a relaxed structure of TbTmSnPb from Alexandria. Energies are from PBE-GGA.

a = 5.3869 Å, b = 5.3869 Å, c = 5.3869 Å
α = 60.00°, β = 60.00°, γ = 60.00°
With the nearest neighbours (Å) after each atom.
Sites, in units of the cell vectors:
Pb (0.7500, 0.7500, 0.7500)  4 Tb 3.30, 4 Tm 3.30
Tm (0.5000, 0.5000, 0.5000)  4 Sn 3.30, 4 Pb 3.30
Tb (0.0000, 0.0000, 0.0000)  4 Pb 3.30, 4 Sn 3.30
Sn (0.2500, 0.2500, 0.2500)  4 Tb 3.30, 4 Tm 3.30

Output
VASP energy: -4.6468 eV per atom

---

7.
Here is a relaxed structure of TcSn8Pb2 from Alexandria. Energies are from PBE-GGA.

a = 4.4305 Å, b = 7.1340 Å, c = 11.6597 Å
α = 74.06°, β = 114.62°, γ = 109.20°
With the nearest neighbours (Å) after each atom.
Sites, in units of the cell vectors:
Tc (0.5000, 0.0000, 0.0000)  8 Sn 2.73-2.82
Sn (0.1601, 0.6842, 0.8556)  1 Tc 2.81, 2 Sn 3.00-3.13
Sn (0.6996, 0.8601, 0.2649)  1 Tc 2.82, 3 Sn 3.10-3.13
Sn (0.8171, 0.4282, 0.6089)  5 Sn 3.10-3.37, 2 Pb 3.25-3.33
Sn (0.9334, 0.7616, 0.0583)  2 Tc 2.73-2.76, 1 Sn 3.00
Sn (0.1830, 0.5717, 0.3911)  5 Sn 3.10-3.37, 2 Pb 3.25-3.33
Sn (0.3004, 0.1399, 0.7351)  1 Tc 2.82, 3 Sn 3.10-3.13
Sn (0.8399, 0.3158, 0.1444)  1 Tc 2.81, 2 Sn 3.00-3.13
Sn (0.0666, 0.2384, 0.9417)  2 Tc 2.73-2.76, 1 Sn 3.00
Pb (0.4936, 0.8181, 0.6289)  7 Sn 3.25-3.62, 1 Pb 3.40
Pb (0.5064, 0.1819, 0.3711)  7 Sn 3.25-3.62, 1 Pb 3.40

Output
VASP energy: -4.4386 eV per atom

---

8.
Here is a relaxed structure of TcSnPb2 from Alexandria. Energies are from PBE-GGA.

a = 4.2919 Å, b = 4.2919 Å, c = 11.4094 Å
α = 79.16°, β = 79.16°, γ = 90.00°
With the nearest neighbours (Å) after each atom.
Sites, in units of the cell vectors:
Pb (0.6178, 0.1250, 0.2500)  4 Pb 2.99-3.08, 2 Tc 3.13, 2 Sn 3.15
Pb (0.1322, 0.6250, 0.2500)  4 Pb 2.99-3.08, 2 Tc 3.13, 2 Sn 3.15
Pb (0.3750, 0.3822, 0.7500)  4 Pb 2.99-3.08, 2 Tc 3.13, 2 Sn 3.15
Pb (0.8750, 0.8678, 0.7500)  4 Pb 2.99-3.08, 2 Tc 3.13, 2 Sn 3.15
Sn (0.0000, 0.0000, 0.0000)  4 Tc 3.03, 4 Pb 3.15
Sn (0.7500, 0.2500, 0.5000)  4 Tc 3.03, 4 Pb 3.15
Tc (0.5000, 0.5000, 0.0000)  4 Sn 3.03, 4 Pb 3.13
Tc (0.2500, 0.7500, 0.5000)  4 Sn 3.03, 4 Pb 3.13

Output
VASP energy: -4.7522 eV per atom

---

9.
Here is a relaxed structure of Tc2Sn2Pb from Alexandria. Energies are from PBE-GGA.

a = 4.7494 Å, b = 4.7494 Å, c = 6.1479 Å
α = 67.28°, β = 67.28°, γ = 90.00°
With the nearest neighbours (Å) after each atom.
Sites, in units of the cell vectors:
Pb (0.0000, 0.0000, 0.0000)  8 Sn 3.50, 8 Tc 3.54
Sn (0.7500, 0.2500, 0.5000)  4 Tc 2.79
Sn (0.2500, 0.7500, 0.5000)  4 Tc 2.79
Tc (0.3914, 0.3914, 0.2171)  1 Tc 2.24
Tc (0.6086, 0.6086, 0.7829)  1 Tc 2.24

Output
Polymorph energy (0 for the lowest one): 0.133 eV per atom

---

10.
Here is a relaxed structure of TcSnPb from Alexandria. Energies are from PBE-GGA.

a = 3.5523 Å, b = 3.5523 Å, c = 12.1688 Å
α = 90.00°, β = 90.00°, γ = 90.00°
With the nearest neighbours (Å) after each atom.
Sites, in units of the cell vectors:
Tc (0.0000, 0.0000, 0.0000)  4 Tc 2.51
Tc (0.5000, 0.5000, 0.0000)  4 Tc 2.51
Sn (0.0000, 0.5000, 0.5841)  8 Sn 3.24-3.55
Sn (0.5000, 0.0000, 0.4159)  8 Sn 3.24-3.55
Pb (0.0000, 0.5000, 0.1995)  4 Tc 3.01
Pb (0.5000, 0.0000, 0.8005)  4 Tc 3.01

Output
VASP energy: -5.6437 eV per atom

---

11.
Here is a relaxed structure of Tc2Sn2Pb from Alexandria. Energies are from PBE-GGA.

a = 7.6673 Å, b = 7.6673 Å, c = 3.3819 Å
α = 90.00°, β = 90.00°, γ = 90.00°
With the nearest neighbours (Å) after each atom.
Sites, in units of the cell vectors:
Pb (0.0000, 0.0000, 0.0000)  4 Tc 2.92
Pb (0.5000, 0.5000, 0.0000)  4 Tc 2.92
Sn (0.1463, 0.6463, 0.5000)  6 Tc 2.79-2.83
Sn (0.6463, 0.8537, 0.5000)  6 Tc 2.79-2.83
Sn (0.8537, 0.3537, 0.5000)  6 Tc 2.79-2.83
Sn (0.3537, 0.1463, 0.5000)  6 Tc 2.79-2.83
Tc (0.3512, 0.8512, 0.0000)  6 Sn 2.79-2.83, 2 Pb 2.92
Tc (0.8512, 0.6488, 0.0000)  6 Sn 2.79-2.83, 2 Pb 2.92
Tc (0.6488, 0.1488, 0.0000)  6 Sn 2.79-2.83, 2 Pb 2.92
Tc (0.1488, 0.3512, 0.0000)  6 Sn 2.79-2.83, 2 Pb 2.92

Output
Polymorph energy (0 for the lowest one): 0.000 eV per atom

---

12.
Here is a relaxed structure of Tc2Sn2Pb from Alexandria. Energies are from PBE-GGA.

a = 8.2190 Å, b = 8.2190 Å, c = 3.0378 Å
α = 90.00°, β = 90.00°, γ = 90.00°
With the nearest neighbours (Å) after each atom.
Sites, in units of the cell vectors:
Pb (0.0000, 0.0000, 0.0000)  2 Pb 3.04, 4 Sn 3.16
Pb (0.5000, 0.5000, 0.0000)  2 Pb 3.04, 4 Sn 3.16
Sn (0.3566, 0.8566, 0.0000)  6 Tc 2.83-2.87, 2 Sn 3.04, 2 Pb 3.16
Sn (0.8566, 0.6434, 0.0000)  6 Tc 2.83-2.87, 2 Sn 3.04, 2 Pb 3.16
Sn (0.6434, 0.1434, 0.0000)  6 Tc 2.83-2.87, 2 Sn 3.04, 2 Pb 3.16
Sn (0.1434, 0.3566, 0.0000)  6 Tc 2.83-2.87, 2 Sn 3.04, 2 Pb 3.16
Tc (0.1471, 0.6471, 0.5000)  6 Sn 2.83-2.87, 2 Tc 3.04
Tc (0.6471, 0.8529, 0.5000)  6 Sn 2.83-2.87, 2 Tc 3.04
Tc (0.8529, 0.3529, 0.5000)  6 Sn 2.83-2.87, 2 Tc 3.04
Tc (0.3529, 0.1471, 0.5000)  6 Sn 2.83-2.87, 2 Tc 3.04

Output
Polymorph energy (0 for the lowest one): 0.110 eV per atom